This record from Alexandria describes a relaxed CaLa2Zn crystal. The functional is PBE-GGA.

```
CaLa2Zn
1.0
-2.432 2.432 5.237
2.432 -2.432 5.237
2.432 2.432 -5.237
Ca La Zn
1 2 1
Cartesian
0.000 0.000 0.000
2.432 0.000 2.619
0.000 0.000 5.237
0.000 2.432 2.619
```

Values from the calculation:
Energy = -0.119 hartree per atom
DFT formation energy = 0.167 eV per formula unit
Crystal system = tetragonal

---

This record from Alexandria describes a relaxed PrScGaCo crystal. The functional is PBE-GGA.

```
PrScGaCo
1.0
0.000 3.463 3.463
3.463 0.000 3.463
3.463 3.463 0.000
Pr Sc Ga Co
1 1 1 1
Cartesian
0.000 0.000 0.000
3.463 3.463 3.463
1.731 1.731 1.731
5.194 5.194 5.194
```

Values from the calculation:
Energy = -0.204 hartree per atom
DFT formation energy = -0.950 eV per formula unit
Crystal system = cubic

---

This record from Alexandria describes a relaxed ErMnS3 crystal. The functional is PBE-GGA.

```
ErMnS3
1.0
3.242 1.872 5.802
-3.242 1.872 5.802
0.000 -3.744 5.802
Er Mn S
2 2 6
Cartesian
0.000 0.000 2.541
0.000 0.000 14.866
0.000 0.000 5.954
0.000 0.000 11.453
-1.277 -1.703 7.161
-2.113 0.254 10.246
-0.837 1.957 7.161
0.837 -1.957 10.246
2.113 -0.254 7.161
1.277 1.703 10.246
```

Values from the calculation:
Energy = -0.236 hartree per atom
Energy above the most stable polymorph in this dataset = 0.113 eV per formula unit
E_form (uncorrected) = -1.21 eV/atom
Crystal system = trigonal

---

This record from Alexandria describes a relaxed BeFeAu2 crystal. The functional is PBE-GGA.

```
BeFeAu2
1.0
-1.914 1.914 3.979
1.914 -1.914 3.979
1.914 1.914 -3.979
Be Fe Au
1 1 2
Cartesian
0.000 0.000 0.000
1.914 0.000 1.990
0.000 0.000 3.979
0.000 1.914 1.990
```

Values from the calculation:
Energy = -0.165 hartree per atom
DFT formation energy = 0.752 eV per formula unit
Crystal system = tetragonal

---

This record from Alexandria describes a relaxed VS2Cl crystal. The functional is PBE-GGA.

```
VS2Cl
1.0
-3.141 3.141 4.812
3.141 -3.141 4.812
3.141 3.141 -4.812
V S Cl
2 4 2
Cartesian
0.000 0.000 0.000
0.000 3.141 2.406
4.712 0.933 -1.203
0.933 1.571 1.203
-1.571 2.209 3.609
2.209 1.571 6.015
3.141 0.000 2.406
0.000 0.000 4.812
```

Values from the calculation:
Energy = -0.188 hartree per atom
Energy above the most stable polymorph in this dataset = 1.492 eV per formula unit
E_form (uncorrected) = -0.31 eV/atom
Crystal system = tetragonal

---

This record from Alexandria describes a relaxed AlBiP2Cl crystal. The functional is PBE-GGA.

```
AlBiP2Cl
1.0
4.824 0.000 0.000
0.000 4.824 0.000
0.000 0.000 4.576
Al Bi P Cl
1 1 2 1
Cartesian
0.000 0.000 0.000
2.412 2.412 2.288
0.000 2.412 0.000
2.412 0.000 0.000
0.000 0.000 2.288
```

Values from the calculation:
Energy = -0.146 hartree per atom
Energy above the most stable polymorph in this dataset = 0.000 eV per formula unit
E_form (uncorrected) = 0.10 eV/atom
Crystal system = tetragonal

---

This record from Alexandria describes a relaxed CaSnAu11 crystal. The functional is PBE-GGA.

```
CaSnAu11
1.0
2.787 -6.604 0.000
2.787 6.604 0.000
-2.531 0.000 7.095
Ca Sn Au
1 1 11
Cartesian
0.000 0.000 0.000
1.522 0.000 3.547
-1.265 0.000 3.547
1.394 3.302 0.000
0.283 4.251 4.662
0.267 1.408 5.597
2.761 4.251 2.433
2.777 1.408 1.498
1.394 -3.302 0.000
0.267 -1.408 5.597
0.283 -4.251 4.662
2.777 -1.408 1.498
2.761 -4.251 2.433
```

Values from the calculation:
Energy = -0.125 hartree per atom
DFT formation energy = -2.229 eV per formula unit
Crystal system = monoclinic

---

This record from Alexandria describes a relaxed Na2CaAlSi2 crystal. The functional is PBE-GGA.

```
Na2CaAlSi2
1.0
4.336 0.000 0.000
0.000 8.555 0.000
0.000 0.000 7.392
Na Ca Al Si
4 2 2 4
Cartesian
0.000 0.693 0.000
0.000 7.862 3.696
2.168 1.355 2.344
2.168 7.200 6.040
2.168 3.778 7.242
2.168 4.777 3.546
0.000 2.784 4.661
0.000 5.771 0.965
0.000 3.341 2.015
0.000 5.214 5.711
2.168 1.535 5.230
2.168 7.020 1.534
```

Values from the calculation:
Energy = -0.123 hartree per atom
E_form (uncorrected) = -0.14 eV/atom
Crystal system = orthorhombic

---

This record from Alexandria describes a relaxed Cd2TcNi crystal. The functional is PBE-GGA.

```
Cd2TcNi
1.0
2.812 0.000 0.000
0.000 3.791 0.000
0.000 0.000 6.139
Cd Tc Ni
2 1 1
Cartesian
0.000 0.000 1.440
0.000 0.000 4.700
1.406 1.895 3.070
1.406 1.895 0.000
```

Values from the calculation:
Energy = -0.150 hartree per atom
DFT formation energy = 1.641 eV per formula unit
Energy above the most stable polymorph in this dataset = 0.957 eV per formula unit
Crystal system = orthorhombic

---

This record from Alexandria describes a relaxed PrErGaAu crystal. The functional is PBE-GGA.

```
PrErGaAu
1.0
0.000 3.671 3.671
3.671 0.000 3.671
3.671 3.671 0.000
Pr Er Ga Au
1 1 1 1
Cartesian
0.000 0.000 0.000
3.671 3.671 3.671
1.835 1.835 1.835
5.506 5.506 5.506
```

Values from the calculation:
Energy = -0.167 hartree per atom
DFT formation energy = -2.557 eV per formula unit
Energy above the most stable polymorph in this dataset = 0.162 eV per formula unit
Crystal system = cubic

---

This record from Alexandria describes a relaxed CaScZn2 crystal. The functional is PBE-GGA.

```
CaScZn2
1.0
3.455 0.000 0.000
0.000 4.971 0.000
0.000 0.000 4.971
Ca Sc Zn
1 1 2
Cartesian
0.000 0.000 0.000
0.000 2.485 2.500
1.727 0.000 2.481
1.727 2.485 0.030
```

Values from the calculation:
Energy = -0.109 hartree per atom
DFT formation energy = -1.011 eV per formula unit
Crystal system = orthorhombic

---

This record from Alexandria describes a relaxed Mg2ZrPb2 crystal. The functional is PBE-GGA.

```
Mg2ZrPb2
1.0
4.973 0.000 0.000
-2.486 4.306 0.000
0.000 0.000 12.451
Mg Zr Pb
4 2 4
Cartesian
0.000 0.000 0.000
0.000 0.000 6.225
0.000 2.871 3.113
2.486 1.435 9.338
0.000 0.000 3.113
0.000 0.000 9.338
0.000 2.871 7.720
0.000 2.871 10.956
2.486 1.435 1.495
2.486 1.435 4.731
```

Values from the calculation:
Energy = -0.136 hartree per atom
DFT formation energy = 0.589 eV per formula unit
Energy above the most stable polymorph in this dataset = 0.296 eV per formula unit
Crystal system = hexagonal

---

This record from Alexandria describes a relaxed K2Zn2AsO6 crystal. The functional is PBE-GGA.

```
K2Zn2AsO6
1.0
2.879 1.662 5.794
-2.879 1.662 5.794
0.000 -3.324 5.794
K Zn As O
2 2 1 6
Cartesian
0.000 0.000 3.509
0.000 0.000 13.874
0.000 0.000 6.685
0.000 0.000 10.698
0.000 0.000 0.000
0.000 -1.859 6.947
-1.610 0.929 6.947
-1.610 -0.929 10.436
1.610 0.929 6.947
1.610 -0.929 10.436
0.000 1.859 10.436
```

Values from the calculation:
Energy = -0.176 hartree per atom
E_form (uncorrected) = -1.24 eV/atom
Crystal system = trigonal

---

This record from Alexandria describes a relaxed HfCd2Ga crystal. The functional is PBE-GGA.

```
HfCd2Ga
1.0
1.538 0.888 10.823
-1.538 0.888 10.823
0.000 -1.776 10.823
Hf Cd Ga
1 2 1
Cartesian
0.000 0.000 0.000
0.000 0.000 2.968
0.000 0.000 29.502
0.000 0.000 16.235
```

Values from the calculation:
Energy = -0.126 hartree per atom
DFT formation energy = 1.118 eV per formula unit
Crystal system = trigonal

---

This record from Alexandria describes a relaxed ReAg2Ir crystal. The functional is PBE-GGA.

```
ReAg2Ir
1.0
1.400 -2.342 0.000
1.400 2.342 0.000
0.000 0.000 9.877
Re Ag Ir
1 2 1
Cartesian
0.000 0.000 0.000
1.400 0.000 2.490
1.400 0.000 7.386
0.000 0.000 4.938
```

Values from the calculation:
Energy = -0.227 hartree per atom
DFT formation energy = 2.297 eV per formula unit
Energy above the most stable polymorph in this dataset = 1.466 eV per formula unit
Crystal system = orthorhombic

---

This record from Alexandria describes a relaxed Y2TeF crystal. The functional is PBE-GGA.

```
Y2TeF
1.0
0.000 3.580 3.580
3.580 0.000 3.580
3.580 3.580 0.000
Y Te F
2 1 1
Cartesian
1.790 1.790 1.790
5.370 5.370 5.370
0.000 0.000 0.000
3.580 3.580 3.580
```

Values from the calculation:
Energy = -0.215 hartree per atom
Energy above the most stable polymorph in this dataset = 1.364 eV per formula unit
E_form (uncorrected) = -1.38 eV/atom
Crystal system = cubic

---

This record from Alexandria describes a relaxed Sn2TeHO crystal. The functional is PBE-GGA.

```
Sn2TeHO
1.0
5.621 0.000 0.000
0.000 5.621 0.000
0.000 0.000 3.127
Sn Te H O
2 1 1 1
Cartesian
0.000 2.810 0.000
2.810 0.000 0.000
0.000 0.000 1.564
2.810 2.810 0.000
2.810 2.810 1.564
```

Values from the calculation:
Energy = -0.137 hartree per atom
Crystal system = tetragonal

---

This record from Alexandria describes a relaxed NaPmAu crystal. The functional is PBE-GGA.

```
NaPmAu
1.0
7.232 0.000 0.000
0.000 7.251 0.000
0.000 0.000 7.230
Na Pm Au
4 4 4
Cartesian
1.808 0.000 0.045
1.808 0.000 3.660
5.424 0.000 3.570
5.424 0.000 7.185
1.808 3.625 3.611
1.808 3.625 7.226
5.424 3.625 0.004
5.424 3.625 3.619
0.000 2.069 1.808
0.000 5.181 5.423
3.616 2.069 5.423
3.616 5.181 1.808
```

Values from the calculation:
Energy = -0.126 hartree per atom
DFT formation energy = -0.914 eV per formula unit
Energy above the most stable polymorph in this dataset = 0.029 eV per formula unit
Crystal system = orthorhombic

---

This record from Alexandria describes a relaxed ErPuMnGa crystal. The functional is PBE-GGA.

```
ErPuMnGa
1.0
0.000 3.509 3.509
3.509 0.000 3.509
3.509 3.509 0.000
Er Pu Mn Ga
1 1 1 1
Cartesian
0.000 0.000 0.000
3.509 3.509 3.509
1.755 1.755 1.755
5.264 5.264 5.264
```

Values from the calculation:
Energy = -0.290 hartree per atom
DFT formation energy = -0.422 eV per formula unit
Crystal system = cubic

---

This record from Alexandria describes a relaxed Ca2MgPb crystal. The functional is PBE-GGA.

```
Ca2MgPb
1.0
3.774 0.000 0.000
0.000 4.838 0.000
0.000 0.000 6.911
Ca Mg Pb
2 1 1
Cartesian
0.000 0.000 0.000
1.887 2.419 2.160
0.000 0.000 3.666
1.887 2.419 5.455
```

Values from the calculation:
Energy = -0.092 hartree per atom
DFT formation energy = -0.733 eV per formula unit
Crystal system = orthorhombic

---

This record from Alexandria describes a relaxed Be3PPb crystal. The functional is PBE-GGA.

```
Be3PPb
1.0
4.279 0.000 0.000
0.000 4.279 0.000
0.000 0.000 4.279
Be P Pb
3 1 1
Cartesian
0.000 0.000 2.140
0.000 2.140 0.000
2.140 0.000 0.000
0.000 0.000 0.000
2.140 2.140 2.140
```

Values from the calculation:
Energy = -0.126 hartree per atom
DFT formation energy = 3.099 eV per formula unit
Energy above the most stable polymorph in this dataset = 0.000 eV per formula unit
Crystal system = cubic

---

This record from Alexandria describes a relaxed SrAl2In2 crystal. The functional is PBE-GGA.

```
SrAl2In2
1.0
8.439 0.000 0.000
0.000 8.439 0.000
0.000 0.000 3.533
Sr Al In
2 4 4
Cartesian
0.000 0.000 0.000
4.219 4.219 0.000
1.008 3.211 0.000
3.211 7.430 0.000
5.228 1.008 0.000
7.430 5.228 0.000
1.444 5.664 1.766
2.775 1.444 1.766
5.664 6.995 1.766
6.995 2.775 1.766
```

Values from the calculation:
Energy = -0.110 hartree per atom
DFT formation energy = -0.287 eV per formula unit
Crystal system = tetragonal